1.
An optimized crystal structure of Ac3AuN, computed with PBE-GGA.

Properties
- formation energy without anion corrections (eV per atom) = -0.665
- energy above the most stable polymorph in this dataset (eV per atom) = 0.0000
- DOS at the Fermi energy (states/eV/f.u.) = 4.13
- crystal system = triclinic

Lattice parameters (Å, degrees): 4.681 8.492 8.490 74.89 89.50 89.49
Positions (direct):
Ac  0.510  0.266  0.319
Ac  0.507  0.342  0.780
Ac  0.974  0.638  0.463
Ac  0.974  0.025  0.077
Ac  0.977  0.563  0.002
Ac  0.510  0.880  0.705
N  0.743  0.614  0.729
N  0.742  0.290  0.053
Au  0.499  0.738  0.176
Au  0.986  0.167  0.606

2.
An optimized crystal structure of BaHo3Pt, computed with PBE-GGA.

Properties
- DOS at the Fermi energy (states/eV/f.u.) = 6.57
- crystal system = cubic
- energy relative to the elements (eV per atom) = -0.411

Lattice parameters (Å, degrees): 5.582 5.582 5.582 90.00 90.00 90.00
Positions (direct):
Pt  0.000  0.000  0.000
Ho  0.000  0.000  0.500
Ho  0.000  0.500  0.000
Ho  0.500  0.000  0.000
Ba  0.500  0.500  0.500

3.
An optimized crystal structure of Li12Cd2Ga, computed with PBE-GGA.

Properties
- DOS at the Fermi energy (states/eV/f.u.) = 7.63
- crystal system = tetragonal
- energy relative to the elements (eV per atom) = 0.031

Lattice parameters (Å, degrees): 5.494 5.494 19.685 90.00 90.00 90.00
Positions (direct):
Li  0.500  0.500  0.661
Li  0.179  0.679  0.563
Li  0.679  0.179  0.437
Li  0.500  0.500  0.339
Li  0.750  0.250  0.094
Li  0.000  0.000  0.789
Li  0.750  0.250  0.906
Li  0.821  0.679  0.437
Li  0.500  0.500  0.789
Li  0.179  0.321  0.437
Li  0.000  0.000  0.661
Li  0.250  0.750  0.906
Li  0.000  0.000  0.339
Li  0.821  0.321  0.563
Li  0.750  0.750  0.094
Li  0.250  0.250  0.094
Li  0.000  0.000  0.211
Li  0.679  0.821  0.563
Li  0.750  0.750  0.906
Li  0.500  0.500  0.211
Li  0.250  0.250  0.906
Li  0.321  0.821  0.437
Li  0.250  0.750  0.094
Li  0.321  0.179  0.563
Cd  0.500  0.000  0.285
Cd  0.000  0.500  0.285
Cd  0.000  0.500  0.715
Cd  0.500  0.000  0.715
Ga  0.500  0.000  0.000
Ga  0.000  0.500  0.000

4.
An optimized crystal structure of BiTe2F, computed with PBE-GGA.

Properties
- formation energy without anion corrections (eV per atom) = -0.359
- energy above the most stable polymorph in this dataset (eV per atom) = 0.0911
- DOS at the Fermi energy (states/eV/f.u.) = 3.19
- crystal system = cubic

Lattice parameters (Å, degrees): 5.216 5.216 5.216 60.00 60.00 60.00
Positions (direct):
F  0.000  0.000  0.000
Te  0.750  0.750  0.750
Te  0.250  0.250  0.250
Bi  0.500  0.500  0.500

5.
An optimized crystal structure of Li2ScMn, computed with PBE-GGA.

Properties
- energy above the most stable polymorph in this dataset (eV per atom) = 0.2049
- DOS at the Fermi energy (states/eV/f.u.) = 3.43
- crystal system = trigonal
- energy relative to the elements (eV per atom) = 0.363

Lattice parameters (Å, degrees): 10.175 10.175 10.175 16.45 16.45 16.45
Positions (direct):
Sc  0.750  0.750  0.750
Li  0.993  0.993  0.993
Li  0.507  0.507  0.507
Mn  0.250  0.250  0.250

6.
An optimized crystal structure of Ti5HgPd8, computed with PBE-GGA.

Properties
- DOS at the Fermi energy (states/eV/f.u.) = 13.49
- crystal system = tetragonal
- energy relative to the elements (eV per atom) = -0.355

Lattice parameters (Å, degrees): 6.740 6.740 6.740 109.37 109.67 109.37
Positions (direct):
Pd  0.525  0.599  0.260
Pd  0.924  0.054  0.669
Pd  0.661  0.401  0.926
Pd  0.130  0.746  0.076
Pd  0.331  0.254  0.384
Pd  0.616  0.946  0.870
Pd  0.740  0.265  0.339
Pd  0.074  0.735  0.475
Ti  0.500  0.000  0.500
Ti  0.765  0.644  0.690
Ti  0.310  0.075  0.954
Ti  0.879  0.925  0.235
Ti  0.046  0.356  0.121
Hg  0.250  0.500  0.750

7.
An optimized crystal structure of VTc2HRu, computed with PBE-GGA.

Properties
- energy above the most stable polymorph in this dataset (eV per atom) = 0.9997
- DOS at the Fermi energy (states/eV/f.u.) = 5.83
- crystal system = tetragonal

Lattice parameters (Å, degrees): 4.751 3.103 4.751 90.00 90.00 90.00
Positions (direct):
Ru  0.000  0.000  0.000
Tc  0.500  0.000  0.000
Tc  0.000  0.000  0.500
V  0.500  0.500  0.500
H  0.000  0.500  0.000

8.
An optimized crystal structure of DyNpIrOs, computed with PBE-GGA.

Properties
- DOS at the Fermi energy (states/eV/f.u.) = 4.74
- crystal system = cubic
- energy relative to the elements (eV per atom) = -0.227

Lattice parameters (Å, degrees): 4.818 4.818 4.818 60.00 60.00 60.00
Positions (direct):
Ir  0.750  0.750  0.750
Dy  0.500  0.500  0.500
Os  0.250  0.250  0.250
Np  0.000  0.000  0.000